# 1
Here is a relaxed YHf2VB crystal from Alexandria. Energies are from PBE.

Cell lengths 5.1600, 5.1600, 4.4849 Å; angles 90.00, 90.00, 90.00 degrees
With the nearest neighbours (Å) after each atom.
Space group P4/mmm (No. 123)
Symmetry-distinct sites (fractional):
Y1 0.0000 0.0000 0.0000 [1 per cell]  2 V 2.24
Hf1 0.0000 0.5000 0.0000 [2 per cell]  2 Y 2.58
V1 0.0000 0.0000 0.5000 [1 per cell]  2 Y 2.24
B1 0.5000 0.5000 0.5000 [1 per cell]  8 Hf 3.42, 4 V 3.65

=====

# 2
Here is a relaxed Sc6ZnCd crystal from Alexandria. Energies are from PBE.

Cell lengths 5.6147, 5.6179, 5.6182 Å; angles 89.90, 89.65, 89.73 degrees
With the nearest neighbours (Å) after each atom.
Space group P-1 (No. 2)
Symmetry-distinct sites (fractional):
Sc1 0.0091 0.0066 0.2470 [2 per cell]  2 Sc 2.78-2.85, 1 Zn 3.10, 1 Cd 3.11
Sc2 0.2470 0.5076 0.5132 [2 per cell]  2 Sc 2.78-2.84, 1 Zn 3.06
Sc3 0.4892 0.2529 0.9948 [2 per cell]  2 Sc 2.78-2.84, 1 Zn 3.07
Zn1 0.0000 0.5000 0.0000 [1 per cell]  12 Sc 3.06-3.21
Cd1 0.5000 0.0000 0.5000 [1 per cell]  12 Sc 3.11-3.18

=====

# 3
Here is a relaxed La3Tb2Sc crystal from Alexandria. Energies are from PBE.

Cell lengths 7.2109, 7.2361, 9.0350 Å; angles 78.07, 77.93, 60.46 degrees
With the nearest neighbours (Å) after each atom.
Space group P-1 (No. 2)
Symmetry-distinct sites (fractional):
La1 0.1352 0.1360 0.1733 [2 per cell]  2 Sc 3.53-3.59, 6 Tb 3.60-3.73, 4 La 3.60-3.66
La2 0.1442 0.6357 0.1665 [2 per cell]  6 Tb 3.55-3.68, 5 La 3.57-3.66, 1 Sc 3.63
La3 0.2505 0.2491 0.5051 [2 per cell]  3 Tb 3.52-3.59, 4 Sc 3.56-3.65, 5 La 3.57-3.65
Tb1 0.3653 0.8613 0.8320 [2 per cell]  8 La 3.55-3.68, 1 Sc 3.58, 3 Tb 3.61-3.66
Tb2 0.3667 0.3648 0.8233 [2 per cell]  2 Sc 3.47-3.49, 7 La 3.52-3.73, 3 Tb 3.61-3.66
Sc1 0.2575 0.7435 0.5037 [2 per cell]  3 Tb 3.47-3.58, 7 La 3.53-3.65, 2 Sc 3.54-3.74

=====

E_form list, top to bottom, in eV/atom: 2.545; -0.072; 0.047